Entry 1:
Computed, not measured: a geometry-optimized YHo2Co structure at the GGA-PBE level of DFT. Values from VASP.

Geometry as Quantum ESPRESSO input:
```
&SYSTEM
  ibrav = 0, nat = 4, ntyp = 3
/
ATOMIC_SPECIES
Ho 164.93 Ho.upf
Y 88.91 Y.upf
Co 58.93 Co.upf
ATOMIC_POSITIONS angstrom
Ho 0.0000 0.0000 7.2254
Ho 0.0000 0.0000 1.6088
Y 1.6946 1.6946 4.4171
Co 1.6946 1.6946 0.0000
CELL_PARAMETERS angstrom
3.3891 0.0000 0.0000
0.0000 3.3891 0.0000
0.0000 0.0000 8.8342
```

Calculated values
Total DFT energy (no corrections) (eV/atom): -5.74
Excess energy over the best structure of this formula in the dataset (meV per atom): 104
Spin magnetization (μB/atom): 0.241
SG: P4/mmm
Energy relative to the elements (meV/atom): -62

Entry 2:
Computed, not measured: a geometry-optimized Fe3Pt2 structure at the GGA-PBE level of DFT. Values from VASP.

Geometry as Quantum ESPRESSO input:
```
&SYSTEM
  ibrav = 0, nat = 10, ntyp = 2
/
ATOMIC_SPECIES
Fe 55.84 Fe.upf
Pt 195.08 Pt.upf
ATOMIC_POSITIONS angstrom
Fe 2.8708 4.8241 5.1648
Fe 4.0648 7.0604 11.0099
Fe 1.4295 2.2363 3.2349
Fe 4.0648 6.3573 8.3998
Fe 0.2356 4.4726 6.4699
Fe 2.8708 4.1210 7.7749
Pt 2.9813 4.1957 2.5680
Pt 2.9813 4.7495 10.3718
Pt 1.7873 2.5132 5.8029
Pt 1.7873 6.4319 7.1368
CELL_PARAMETERS angstrom
0.0000 4.4726 6.4699
2.3880 0.0000 6.4699
2.3880 4.4726 0.0000
```

Calculated values
Total DFT energy (no corrections) (eV/atom): -7.59
Spin magnetization (μB/atom): 1.872
SG: Fdd2
Energy relative to the elements (meV/atom): -99

Entry 3:
Computed, not measured: a geometry-optimized In2GeIrI structure at the GGA-PBE level of DFT. Values from VASP.

Geometry as Quantum ESPRESSO input:
```
&SYSTEM
  ibrav = 0, nat = 5, ntyp = 4
/
ATOMIC_SPECIES
Ir 192.22 Ir.upf
In 114.82 In.upf
Ge 72.64 Ge.upf
I 126.90 I.upf
ATOMIC_POSITIONS angstrom
Ir 0.0000 0.0000 0.0000
In -2.2838 -1.0500 -0.9280
In 0.1615 -1.9598 1.8200
Ge -1.2254 1.3164 1.5263
I -3.3477 -1.6934 2.4184
CELL_PARAMETERS angstrom
-4.5677 -2.0999 -1.8559
0.3230 -3.9197 3.6400
-2.4508 2.6329 3.0527
```

Calculated values
Total DFT energy (no corrections) (eV/atom): -4.40
Spin magnetization (μB/atom): 0.000
SG: P4/mmm

Entry 4:
Computed, not measured: a geometry-optimized Hf6MgIn structure at the GGA-PBE level of DFT. Values from VASP.

Geometry as Quantum ESPRESSO input:
```
&SYSTEM
  ibrav = 0, nat = 8, ntyp = 3
/
ATOMIC_SPECIES
Hf 178.49 Hf.upf
In 114.82 In.upf
Mg 24.30 Mg.upf
ATOMIC_POSITIONS angstrom
Hf -1.1848 2.0529 2.0509
Hf -1.5504 2.5243 -1.0238
Hf -0.8213 6.4134 2.6763
Hf -3.0999 0.2011 0.3995
Hf -1.1870 6.8849 -0.3983
Hf -2.7358 4.5694 1.0260
In 0.0000 0.0000 0.0000
Mg 0.3641 4.3683 0.6265
CELL_PARAMETERS angstrom
-3.4656 0.6726 -2.6752
-2.7343 -0.2704 3.4742
0.7282 8.7366 1.2531
```

Calculated values
Total DFT energy (no corrections) (eV/atom): -8.04
Spin magnetization (μB/atom): 0.000
SG: P4/mmm
Energy relative to the elements (meV/atom): -35

Entry 5:
Computed, not measured: a geometry-optimized Li2Ni2Ir structure at the GGA-PBE level of DFT. Values from VASP.

Geometry as Quantum ESPRESSO input:
```
&SYSTEM
  ibrav = 0, nat = 10, ntyp = 3
/
ATOMIC_SPECIES
Ni 58.69 Ni.upf
Ir 192.22 Ir.upf
Li 6.94 Li.upf
ATOMIC_POSITIONS angstrom
Ni 1.4867 0.6439 6.9819
Ni 3.0803 -2.1335 5.0997
Ni -0.2399 1.7516 3.8854
Ni 1.3538 -1.0258 2.0033
Ir 0.0000 0.0000 0.0000
Ir 1.4202 -0.1910 4.4926
Li 1.3221 1.2750 2.1111
Li 3.5578 -0.0947 6.2957
Li 3.5308 -1.2759 3.0098
Li 1.3491 2.4561 5.3969
CELL_PARAMETERS angstrom
-1.2030 3.6004 5.4830
4.0434 -3.9823 3.5021
2.0395 1.5622 -0.5783
```

Calculated values
Total DFT energy (no corrections) (eV/atom): -4.67
Excess energy over the best structure of this formula in the dataset (meV per atom): 117
Spin magnetization (μB/atom): 0.000
SG: P4/mbm
Energy relative to the elements (meV/atom): 178

Entry 6:
Computed, not measured: a geometry-optimized TlBiSbPd structure at the GGA-PBE level of DFT. Values from VASP.

Geometry as Quantum ESPRESSO input:
```
&SYSTEM
  ibrav = 0, nat = 4, ntyp = 4
/
ATOMIC_SPECIES
Tl 204.38 Tl.upf
Pd 106.42 Pd.upf
Bi 208.98 Bi.upf
Sb 121.76 Sb.upf
ATOMIC_POSITIONS angstrom
Tl 6.4836 3.7433 4.0560
Pd 4.3224 2.4955 0.7135
Bi 2.1612 1.2478 6.5507
Sb 2.1612 1.2478 1.7596
CELL_PARAMETERS angstrom
4.3224 0.0000 0.0000
2.1612 3.7433 0.0000
2.1612 1.2478 7.1773
```

Calculated values
Total DFT energy (no corrections) (eV/atom): -4.06
Spin magnetization (μB/atom): 0.000
SG: R3m

> The highest spin magnetization belongs to which entry?

Fe3Pt2

> Number 4 is which compound?

Hf6MgIn